# Na2MgTl5Pb (PBE, optimized geometry)
data_Na2MgTl5Pb
_chemical_formula_sum 'Na4 Mg2 Tl10 Pb2'
_cell_length_a 7.7738
_cell_length_b 7.7738
_cell_length_c 14.6482
_cell_angle_alpha 90.00
_cell_angle_beta 90.00
_cell_angle_gamma 144.50
_symmetry_space_group_name_H-M 'P 1'
_symmetry_Int_Tables_number 1
loop_
_symmetry_equiv_pos_as_xyz
'x,y,z'
loop_
_atom_site_label
_atom_site_type_symbol
_atom_site_fract_x
_atom_site_fract_y
_atom_site_fract_z
_atom_site_occupancy
Na1 Na 0.0814 0.9186 0.5000 1
Na2 Na 0.0827 0.9173 0.8214 1
Na3 Na 0.9173 0.0827 0.3214 1
Na4 Na 0.9186 0.0814 0.0000 1
Mg1 Mg 0.2365 0.7635 0.0013 1
Mg2 Mg 0.7635 0.2365 0.5013 1
Tl1 Tl 0.0831 0.9169 0.1664 1
Tl2 Tl 0.2499 0.7501 0.6575 1
Tl3 Tl 0.2505 0.7495 0.3368 1
Tl4 Tl 0.4069 0.5931 0.8420 1
Tl5 Tl 0.4119 0.5881 0.1562 1
Tl6 Tl 0.5881 0.4119 0.6562 1
Tl7 Tl 0.5931 0.4069 0.3420 1
Tl8 Tl 0.7495 0.2505 0.8368 1
Tl9 Tl 0.7501 0.2499 0.1575 1
Tl10 Tl 0.9169 0.0831 0.6664 1
Pb1 Pb 0.4123 0.5877 0.4938 1
Pb2 Pb 0.5877 0.4123 0.9938 1
# Raw total energy   -2.257 eV/atom
# Symmetry   Cmc2_1
# Calculated formation energy   -0.5 eV/f.u.
# Total magnetization   0.00 μB/f.u.
# N(E_F)   8.21 states/eV/cell
# Calculated density   8.39 g/cm³


# NaMgTlPb2 (PBE, optimized geometry)
data_NaMgTlPb2
_chemical_formula_sum 'Na2 Mg2 Tl2 Pb4'
_cell_length_a 6.1109
_cell_length_b 6.1109
_cell_length_c 10.6171
_cell_angle_alpha 90.00
_cell_angle_beta 90.00
_cell_angle_gamma 119.95
_symmetry_space_group_name_H-M 'P 1'
_symmetry_Int_Tables_number 1
loop_
_symmetry_equiv_pos_as_xyz
'x,y,z'
loop_
_atom_site_label
_atom_site_type_symbol
_atom_site_fract_x
_atom_site_fract_y
_atom_site_fract_z
_atom_site_occupancy
Na1 Na 0.0000 0.0000 0.0000 1
Na2 Na 0.5000 0.5000 0.0000 1
Mg1 Mg 0.2500 0.2500 0.5000 1
Mg2 Mg 0.7500 0.7500 0.5000 1
Tl1 Tl 0.2500 0.7500 0.5994 1
Tl2 Tl 0.7500 0.2500 0.4006 1
Pb1 Pb 0.0957 0.9043 0.2726 1
Pb2 Pb 0.4043 0.5957 0.2726 1
Pb3 Pb 0.5957 0.4043 0.7274 1
Pb4 Pb 0.9043 0.0957 0.7274 1
# Raw total energy   -2.512 eV/atom
# Symmetry   Cmme
# Calculated formation energy   0.1 eV/f.u.
# Total magnetization   0.00 μB/f.u.
# N(E_F)   1.70 states/eV/cell
# Calculated density   6.44 g/cm³